Computed, not measured: Y2ErTh2 after structural relaxation at the GGA-PBE level of DFT.

Calculated values
For the volume, the calculation gives 33.7 Å³/atom. The offset from the most stable computed form is 1.16 eV/f.u. Its density of states at the Fermi level is 9.84 states/eV/f.u. The calculation puts the total energy at -6.164 eV per atom. The formation enthalpy at 0 K is 301.8 meV/atom.

```
data_Y2ErTh2
_chemical_formula_sum 'Y8 Er4 Th8'
_cell_length_a 8.6537
_cell_length_b 9.4185
_cell_length_c 8.7136
_cell_angle_alpha 90.00
_cell_angle_beta 108.58
_cell_angle_gamma 90.00
_space_group_name_H-M_alt 'C 1 2/c 1'
_space_group_IT_number 15
_space_group_name_Hall '-C 2yc'
loop_
_atom_site_label
_atom_site_fract_x
_atom_site_fract_y
_atom_site_fract_z
_atom_site_occupancy
Y1 0.1566 0.0960 0.1316 1
Er1 0.0000 0.2047 0.7500 1
Th1 0.0000 0.5000 0.0000 1
Th2 0.2500 0.2500 0.5000 1
```